1.
Below is crystalline CuSiPd at its relaxed geometry, with properties calculated at the PBE-GGA level.

The structure in POSCAR format:
```
CuSiPd
1.0
-1.3200 1.3200 6.6406
1.3200 -1.3200 6.6406
1.3200 1.3200 -6.6406
Cu Si Pd
1 1 1
Direct
0.0000 0.0000 0.0000 Cu
0.1755 0.1755 0.0000 Si
0.3531 0.3531 0.0000 Pd
```

* total DFT energy (no corrections): -4.773 eV/atom
* Fermi-level density of states: 1.62 states/eV/f.u.
* raw formation energy: 0.131 eV/atom
* SG: I4mm

---

2.
Below is crystalline CuSi2Pd8 at its relaxed geometry, with properties calculated at the PBE-GGA level.

The structure in POSCAR format:
```
CuSi2Pd8
1.0
-1.9989 3.4804 5.8420
1.9989 -3.4804 5.8420
1.9989 3.4804 -5.8420
Cu Si Pd
1 2 8
Direct
0.0000 0.0000 0.0000 Cu
0.3084 0.3084 0.0000 Si
0.6916 0.6916 0.0000 Si
0.1190 0.8369 0.2821 Pd
0.1428 0.6428 0.5000 Pd
0.3098 0.5000 0.8098 Pd
0.4452 0.1631 0.2821 Pd
0.5548 0.8369 0.7179 Pd
0.6902 0.5000 0.1902 Pd
0.8572 0.3572 0.5000 Pd
0.8810 0.1631 0.7179 Pd
```

* total DFT energy (no corrections): -5.535 eV/atom
* Fermi-level density of states: 5.90 states/eV/f.u.
* E above lowest polymorph: 0.0189 eV/atom
* raw formation energy: -0.400 eV/atom
* SG: Immm

---

3.
Below is crystalline Cu6SiPd at its relaxed geometry, with properties calculated at the PBE-GGA level.

The structure in POSCAR format:
```
Cu6SiPd
1.0
3.4400 1.9861 2.5113
-3.4400 1.9861 2.5113
0.0000 -3.9721 2.5113
Cu Si Pd
6 1 1
Direct
0.0513 0.4781 0.7490 Cu
0.2510 0.9487 0.5219 Cu
0.4781 0.7490 0.0513 Cu
0.5219 0.2510 0.9487 Cu
0.7490 0.0513 0.4781 Cu
0.9487 0.5219 0.2510 Cu
0.5000 0.5000 0.5000 Si
0.0000 0.0000 0.0000 Pd
```

* total DFT energy (no corrections): -4.388 eV/atom
* Fermi-level density of states: 2.23 states/eV/f.u.
* E above lowest polymorph: 0.0000 eV/atom
* raw formation energy: 0.011 eV/atom
* SG: R-3

---

Q: The lowest Fermi-level density of states belongs to which entry?
A: CuSiPd